A plane-wave DFT calculation with PBE was carried out for an optimized crystal structure of CeHoCl2.

Lattice parameters (Å, degrees): 3.4725 3.4725 9.9761 79.98 79.98 60.00
Closest atoms and distances in Å follow each position.
Element x y z (fractional)
Ce (0.0000, 0.0000, 0.0000)  2 Cl 2.93
Cl (0.0999, 0.0999, 0.7004)  3 Ho 2.80, 1 Ce 2.93
Cl (0.9001, 0.9001, 0.2996)  3 Ho 2.80, 1 Ce 2.93
Ho (0.5000, 0.5000, 0.5000)  6 Cl 2.80

Summary:
N(E_F) = 5.11 states/eV per cell
ΔE_f (raw) = -1.2169 eV/atom


A plane-wave DFT calculation with PBE was carried out for an optimized crystal structure of CaTeAu2.

Lattice parameters (Å, degrees): 5.7196 5.7196 4.5188 84.40 84.40 41.69
Closest atoms and distances in Å follow each position.
Element x y z (fractional)
Ca (0.7500, 0.7500, 0.7500)  4 Te 3.04, 6 Au 3.11-3.31
Au (0.4851, 0.4851, 0.5252)  4 Au 2.92-3.20, 1 Te 2.92, 1 Ca 3.11
Au (0.0149, 0.0149, 0.9748)  4 Au 2.92-3.20, 1 Te 2.92, 1 Ca 3.11
Te (0.2500, 0.2500, 0.2500)  2 Au 2.92, 4 Ca 3.04

Summary:
E above lowest polymorph = 4.6 kJ per mole of atoms
N(E_F) = 0.71 states/eV per cell
ΔE_f (raw) = -0.5376 eV/atom


A plane-wave DFT calculation with PBE was carried out for an optimized crystal structure of LaMg3Se4O12.

Lattice parameters (Å, degrees): 6.7776 6.7776 6.7776 105.34 105.34 105.34
Closest atoms and distances in Å follow each position.
Element x y z (fractional)
Se (0.5000, 0.5000, 0.5000)  3 O 1.86
Se (0.1066, 0.5000, 0.8934)  3 O 1.73-1.85
Se (0.5000, 0.8934, 0.1066)  3 O 1.73-1.85
Se (0.8934, 0.1066, 0.5000)  3 O 1.73-1.85
O (0.6722, 0.5000, 0.3278)  1 Se 1.86, 2 Mg 2.02
O (0.5000, 0.3278, 0.6722)  1 Se 1.86, 2 Mg 2.02
O (0.0038, 0.2536, 0.3351)  1 Se 1.85
O (0.3351, 0.0038, 0.2536)  1 Se 1.85
O (0.0536, 0.9464, 0.5000)  1 Se 1.73
O (0.5000, 0.0536, 0.9464)  1 Se 1.73
O (0.6649, 0.7464, 0.9962)  1 Se 1.85
O (0.9464, 0.5000, 0.0536)  1 Se 1.73
O (0.9962, 0.6649, 0.7464)  1 Se 1.85
O (0.7464, 0.9962, 0.6649)  1 Se 1.85
O (0.2536, 0.3351, 0.0038)  1 Se 1.85
O (0.3278, 0.6722, 0.5000)  1 Se 1.86, 2 Mg 2.02
Mg (0.4218, 0.0000, 0.5782)  4 O 2.02-2.13
Mg (0.5782, 0.4218, 0.0000)  4 O 2.02-2.13
Mg (0.0000, 0.5782, 0.4218)  4 O 2.02-2.13
La (0.0000, 0.0000, 0.0000)  6 O 2.45

Summary:
N(E_F) = 4.49 states/eV per cell
ΔE_f (raw) = -1.4092 eV/atom


A plane-wave DFT calculation with PBE was carried out for an optimized crystal structure of Dy2YSc.

Lattice parameters (Å, degrees): 3.5100 6.0803 12.4373 114.06 98.11 89.98
Closest atoms and distances in Å follow each position.
Element x y z (fractional)
Dy (0.1733, 0.9485, 0.8320)  3 Sc 3.37, 6 Dy 3.51, 3 Y 3.57
Dy (0.4118, 0.3469, 0.3094)  3 Sc 3.35, 6 Dy 3.51, 3 Y 3.56
Dy (0.6730, 0.4485, 0.8320)  3 Sc 3.37, 6 Dy 3.51, 3 Y 3.57
Dy (0.9116, 0.8469, 0.3095)  3 Sc 3.35, 6 Dy 3.51, 3 Y 3.56
Y (0.5419, 0.8977, 0.5702)  6 Y 3.51, 6 Dy 3.56-3.57
Y (0.0418, 0.3977, 0.5701)  6 Y 3.51, 6 Dy 3.56-3.57
Sc (0.2930, 0.4818, 0.0719)  6 Dy 3.35-3.37, 6 Sc 3.51
Sc (0.7933, 0.9818, 0.0719)  6 Dy 3.35-3.37, 6 Sc 3.51

Summary:
E above lowest polymorph = 0.0 kJ per mole of atoms
N(E_F) = 13.52 states/eV per cell